# 1
Compound: Ac2U2O7
Source: the Alexandria database
Functional: PBE
Structure: optimized geometry

Properties
* raw formation energy: -322.3 kJ/mol of atoms
* energy: -204.496 eV per cell

a = 8.045 Å, b = 8.045 Å, c = 8.045 Å
α = 60.00°, β = 60.00°, γ = 60.00°
Positions (direct):
O 0.785 0.215 0.785
O 0.215 0.215 0.785
O 0.465 0.465 0.035
O 0.035 0.035 0.465
O 0.785 0.215 0.215
O 0.785 0.785 0.215
O 0.750 0.750 0.750
O 0.465 0.035 0.035
O 0.035 0.465 0.035
O 0.500 0.500 0.500
O 0.215 0.785 0.215
O 0.465 0.035 0.465
O 0.215 0.785 0.785
O 0.035 0.465 0.465
U 0.125 0.125 0.625
U 0.625 0.125 0.125
U 0.125 0.125 0.125
U 0.125 0.625 0.125
Ac 0.125 0.625 0.625
Ac 0.625 0.125 0.625
Ac 0.625 0.625 0.125
Ac 0.625 0.625 0.625

# 2
Compound: AcUO6
Source: the Alexandria database
Functional: PBE
Structure: optimized geometry

Properties
* raw formation energy: -219.5 kJ/mol of atoms
* energy: -63.343 eV per cell

a = 4.891 Å, b = 4.891 Å, c = 4.891 Å
α = 97.64°, β = 97.64°, γ = 97.64°
Positions (direct):
Ac 0.000 0.000 0.000
O 0.798 0.445 0.798
O 0.555 0.202 0.202
O 0.798 0.798 0.445
O 0.202 0.202 0.555
O 0.202 0.555 0.202
O 0.445 0.798 0.798
U 0.500 0.500 0.500